Entry 1:
Crystalline PmHo3Ga4 at its relaxed geometry. Source: Alexandria via LeMat-Bulk, functional GGA-PBE.

a = 3.5364 Å, b = 6.7778 Å, c = 16.7497 Å
α = 90.00°, β = 90.00°, γ = 90.00°
With the nearest neighbours (Å) after each atom.
Space group Immm (No. 71)
Inequivalent atoms, fractional coordinates:
1 Pm 0.0000 0.0000 0.0000  4 Ga 3.04
2 Ho 0.0000 0.0000 0.5000  8 Ga 3.10
3 Ho 0.0000 0.5000 0.2966  6 Ga 3.00-3.06
4 Ga 0.0000 0.3091 0.1313  1 Ga 2.59

Computed properties:
E = -68.39 eV for the cell shown

Entry 2:
Crystalline PmHo3Ga8 at its relaxed geometry. Source: Alexandria via LeMat-Bulk, functional GGA-PBE.

a = 5.4971 Å, b = 5.4971 Å, c = 27.3314 Å
α = 90.00°, β = 90.00°, γ = 120.00°
With the nearest neighbours (Å) after each atom.
Space group R3m (No. 160, hexagonal axes)
Inequivalent atoms, fractional coordinates:
1 Pm 0.0000 0.0000 0.0000  12 Ga 3.23-3.29, 4 Ho 3.38-3.40
2 Ho 0.0000 0.0000 0.1244  12 Ga 3.22-3.25, 3 Ho 3.38, 1 Pm 3.40
3 Ho 0.0000 0.0000 0.5006  12 Ga 3.21-3.26, 4 Ho 3.36-3.38
4 Ho 0.0000 0.0000 0.6237  12 Ga 3.23-3.31, 1 Ho 3.36, 3 Pm 3.38
5 Ga 0.0000 0.0000 0.3119  6 Ga 2.79-2.80
6 Ga 0.0000 0.0000 0.8125  6 Ga 2.75-2.76
7 Ga 0.0004 0.5002 0.0632  6 Ga 2.75-2.80
8 Ga 0.1670 0.3339 0.8947  6 Ga 2.74-2.79

Computed properties:
E = -147.97 eV for the cell shown

Entry 3:
Crystalline Pm2HoGa6 at its relaxed geometry. Source: Alexandria via LeMat-Bulk, functional GGA-PBE.

a = 7.3452 Å, b = 7.3452 Å, c = 4.2081 Å
α = 90.00°, β = 90.00°, γ = 120.00°
With the nearest neighbours (Å) after each atom.
Space group P6/mmm (No. 191)
Inequivalent atoms, fractional coordinates:
1 Pm 0.3333 0.6667 0.0000  12 Ga 3.23
2 Ho 0.0000 0.0000 0.0000  12 Ga 3.22
3 Ga 0.0000 0.3321 0.5000  3 Ga 2.44-2.47

Computed properties:
E = -38.19 eV for the cell shown

Entry 4:
Crystalline Pm2Ho2Ga at its relaxed geometry. Source: Alexandria via LeMat-Bulk, functional GGA-PBE.

a = 4.2430 Å, b = 4.2430 Å, c = 17.6645 Å
α = 90.00°, β = 90.00°, γ = 90.00°
With the nearest neighbours (Å) after each atom.
Space group I4/mmm (No. 139)
Inequivalent atoms, fractional coordinates:
1 Pm 0.0000 0.5000 0.2500  4 Pm 3.00
2 Ho 0.0000 0.0000 0.0849  1 Ho 3.00, 4 Ga 3.35
3 Ga 0.0000 0.0000 0.5000  8 Ho 3.35

Computed properties:
E = -39.66 eV for the cell shown

Entry 5:
Crystalline PmHo2Ga at its relaxed geometry. Source: Alexandria via LeMat-Bulk, functional GGA-PBE.

a = 3.5260 Å, b = 3.5260 Å, c = 8.9277 Å
α = 90.00°, β = 90.00°, γ = 90.00°
With the nearest neighbours (Å) after each atom.
Space group P4/mmm (No. 123)
Inequivalent atoms, fractional coordinates:
1 Pm 0.0000 0.0000 0.0000  4 Pm 3.53, 8 Ho 3.62
2 Ho 0.5000 0.5000 0.2941  4 Ga 3.10
3 Ga 0.0000 0.0000 0.5000  8 Ho 3.10

Computed properties:
E = -18.08 eV for the cell shown

Entry 6:
Crystalline PmHo4Ga4 at its relaxed geometry. Source: Alexandria via LeMat-Bulk, functional GGA-PBE.

a = 9.9472 Å, b = 9.9472 Å, c = 4.8170 Å
α = 90.00°, β = 90.00°, γ = 90.00°
With the nearest neighbours (Å) after each atom.
Space group I4/m (No. 87)
Inequivalent atoms, fractional coordinates:
1 Pm 0.0000 0.0000 0.0000  8 Ga 3.07
2 Ho 0.1279 0.3577 0.0000  4 Ga 2.90-3.05
3 Ga 0.0746 0.1765 0.5000  2 Ga 2.70, 2 Ho 2.90-2.98

Computed properties:
E = -77.44 eV for the cell shown

Entry 7:
Crystalline PmHoGa at its relaxed geometry. Source: Alexandria via LeMat-Bulk, functional GGA-PBE.

a = 7.9507 Å, b = 7.9507 Å, c = 4.4588 Å
α = 90.00°, β = 90.00°, γ = 120.00°
With the nearest neighbours (Å) after each atom.
Space group P-62m (No. 189)
Inequivalent atoms, fractional coordinates:
1 Pm 0.0000 0.4002 0.0000  5 Ga 3.18-3.30, 2 Ho 3.47
2 Ho 0.0000 0.7341 0.5000  4 Ga 2.95-3.07
3 Ga 0.0000 0.0000 0.0000  6 Ho 3.07, 3 Pm 3.18
4 Ga 0.3333 0.6667 0.5000  3 Ho 2.95, 6 Pm 3.30

Computed properties:
E = -40.72 eV for the cell shown

Entry 8:
Crystalline PmHo2Ga at its relaxed geometry. Source: Alexandria via LeMat-Bulk, functional GGA-PBE.

a = 4.7565 Å, b = 4.7565 Å, c = 4.7235 Å
α = 90.00°, β = 90.00°, γ = 90.00°
With the nearest neighbours (Å) after each atom.
Space group P4/mmm (No. 123)
Inequivalent atoms, fractional coordinates:
1 Pm 0.0000 0.0000 0.0000  8 Ho 3.35, 4 Ga 3.36
2 Ho 0.0000 0.5000 0.5000  4 Pm 3.35, 4 Ga 3.35, 4 Ho 3.36
3 Ga 0.5000 0.5000 0.0000  8 Ho 3.35, 4 Pm 3.36

Computed properties:
E = -17.87 eV for the cell shown

Entry 9:
Crystalline Pm2Ho2Ga3 at its relaxed geometry. Source: Alexandria via LeMat-Bulk, functional GGA-PBE.

a = 14.3118 Å, b = 3.6365 Å, c = 7.7220 Å
α = 90.00°, β = 115.50°, γ = 90.00°
With the nearest neighbours (Å) after each atom.
Space group C2/m (No. 12)
Inequivalent atoms, fractional coordinates:
1 Pm 0.1800 0.0000 0.2729  5 Ga 3.03-3.13
2 Ho 0.1057 0.0000 0.7887  6 Ga 3.01-3.22
3 Ga 0.0000 0.5000 0.0000  4 Pm 3.12, 4 Ho 3.22, 2 Ga 3.24
4 Ga 0.0820 0.5000 0.4623  1 Ga 2.65

Computed properties:
E = -61.57 eV for the cell shown

Entry 10:
Crystalline Pm2HoGa9 at its relaxed geometry. Source: Alexandria via LeMat-Bulk, functional GGA-PBE.

a = 5.5248 Å, b = 5.5248 Å, c = 27.6218 Å
α = 90.00°, β = 90.00°, γ = 120.00°
With the nearest neighbours (Å) after each atom.
Space group R-3m (No. 166, hexagonal axes)
Inequivalent atoms, fractional coordinates:
1 Pm 0.0000 0.0000 0.1380  12 Ga 3.14-3.45
2 Ho 0.0000 0.0000 0.0000  6 Ga 3.19
3 Ga 0.0000 0.0000 0.3339  6 Ga 2.81-2.82
4 Ga 0.0000 0.0000 0.5000  6 Ga 2.80
5 Ga 0.0061 0.5031 0.9161  7 Ga 2.71-2.82

Computed properties:
E = -137.88 eV for the cell shown

Entry 11:
Crystalline Pm7HoGa4 at its relaxed geometry. Source: Alexandria via LeMat-Bulk, functional GGA-PBE.

a = 13.8438 Å, b = 5.6017 Å, c = 10.5138 Å
α = 90.00°, β = 124.09°, γ = 90.00°
With the nearest neighbours (Å) after each atom.
Space group C2/m (No. 12)
Inequivalent atoms, fractional coordinates:
1 Pm 0.0000 0.0000 0.0000  2 Ho 2.80, 4 Ga 2.93-3.02
2 Pm 0.0652 0.5000 0.3859  5 Ga 3.10-3.41, 2 Pm 3.19-3.37
3 Pm 0.2054 0.0000 0.6454  4 Ga 2.94-3.17
4 Pm 0.2063 0.5000 0.8806  4 Pm 3.19-3.52, 4 Ga 3.30-3.39
5 Ho 0.0000 0.5000 0.0000  2 Pm 2.80
6 Ga 0.0539 0.0000 0.7587  1 Ga 2.80, 2 Pm 2.94-3.02
7 Ga 0.1783 0.0000 0.3306  1 Ga 2.80, 3 Pm 2.93-3.12

Computed properties:
E = -104.78 eV for the cell shown

Entry 12:
Crystalline PmHo5Ga6 at its relaxed geometry. Source: Alexandria via LeMat-Bulk, functional GGA-PBE.

a = 5.0512 Å, b = 15.1630 Å, c = 7.1406 Å
α = 90.00°, β = 90.00°, γ = 90.00°
With the nearest neighbours (Å) after each atom.
Space group Cmmm (No. 65)
Inequivalent atoms, fractional coordinates:
1 Pm 0.0000 0.0000 0.0000  8 Ga 3.11-3.15
2 Ho 0.0000 0.0000 0.5000  8 Ga 3.08-3.11
3 Ho 0.0000 0.3326 0.0000  8 Ga 3.07-3.12
4 Ho 0.0000 0.3356 0.5000  8 Ga 3.05-3.08
5 Ga 0.0000 0.1693 0.2545  7 Ho 3.07-3.11, 1 Pm 3.15
6 Ga 0.0000 0.5000 0.2538  6 Ho 3.05-3.12, 2 Pm 3.11

Computed properties:
E = -105.45 eV for the cell shown

Entry 13:
Crystalline Pm3Ho3Ga4 at its relaxed geometry. Source: Alexandria via LeMat-Bulk, functional GGA-PBE.

a = 4.4475 Å, b = 10.9225 Å, c = 10.8034 Å
α = 90.00°, β = 90.00°, γ = 90.00°
With the nearest neighbours (Å) after each atom.
Space group Amm2 (No. 38)
Inequivalent atoms, fractional coordinates:
1 Pm 0.0000 0.0000 0.0000  6 Ga 3.17-3.19
2 Pm 0.0000 0.1748 0.6713  6 Ga 3.17-3.22
3 Ho 0.0000 0.0000 0.3482  6 Ga 3.10-3.18
4 Ho 0.5000 0.2498 0.4216  4 Ga 3.02-3.09
5 Ga 0.5000 0.0000 0.5482  1 Ga 2.62
6 Ga 0.5000 0.0000 0.7907  1 Ga 2.62
7 Ga 0.5000 0.1184 0.1751  1 Ga 2.59

Computed properties:
E = -90.51 eV for the cell shown

Entry 14:
Crystalline PmHo2Ga at its relaxed geometry. Source: Alexandria via LeMat-Bulk, functional GGA-PBE.

a = 7.5476 Å, b = 7.5476 Å, c = 7.5476 Å
α = 90.00°, β = 90.00°, γ = 90.00°
With the nearest neighbours (Å) after each atom.
Space group Fm-3m (No. 225)
Inequivalent atoms, fractional coordinates:
1 Pm 0.0000 0.0000 0.0000  8 Ho 3.27
2 Ho 0.2500 0.2500 0.2500  4 Pm 3.27, 4 Ga 3.27
3 Ga 0.0000 0.0000 0.5000  8 Ho 3.27

Computed properties:
E = -68.27 eV for the cell shown

Entry 15:
Crystalline PmHoGa4 at its relaxed geometry. Source: Alexandria via LeMat-Bulk, functional GGA-PBE.

a = 4.2335 Å, b = 4.2335 Å, c = 8.3336 Å
α = 90.00°, β = 90.00°, γ = 120.00°
With the nearest neighbours (Å) after each atom.
Space group P6/mmm (No. 191)
Inequivalent atoms, fractional coordinates:
1 Pm 0.0000 0.0000 0.0000  12 Ga 3.25
2 Ho 0.0000 0.0000 0.5000  12 Ga 3.17
3 Ga 0.3333 0.6667 0.2570  3 Ga 2.44

Computed properties:
E = -25.39 eV for the cell shown

Entry 16:
Crystalline Pm2HoGa3 at its relaxed geometry. Source: Alexandria via LeMat-Bulk, functional GGA-PBE.

a = 3.6186 Å, b = 3.6186 Å, c = 10.9695 Å
α = 90.00°, β = 90.00°, γ = 90.00°
With the nearest neighbours (Å) after each atom.
Space group P4/mmm (No. 123)
Inequivalent atoms, fractional coordinates:
1 Pm 0.0000 0.0000 0.1710  8 Ga 3.17-3.19
2 Ho 0.0000 0.0000 0.5000  8 Ga 3.08
3 Ga 0.5000 0.5000 0.0000  8 Pm 3.17
4 Ga 0.5000 0.5000 0.3443  4 Ho 3.08, 4 Pm 3.19, 1 Ga 3.42

Computed properties:
E = -26.61 eV for the cell shown

Entry 17:
Crystalline PmHoGa at its relaxed geometry. Source: Alexandria via LeMat-Bulk, functional GGA-PBE.

a = 3.5104 Å, b = 3.5104 Å, c = 13.2138 Å
α = 90.00°, β = 90.00°, γ = 90.00°
With the nearest neighbours (Å) after each atom.
Space group I4mm (No. 107)
Inequivalent atoms, fractional coordinates:
1 Pm 0.0000 0.0000 0.0000  4 Ga 3.19, 4 Pm 3.51
2 Ho 0.0000 0.0000 0.7107  4 Ga 3.08
3 Ga 0.0000 0.0000 0.3487  4 Ho 3.08, 4 Pm 3.19

Computed properties:
E = -26.85 eV for the cell shown

Entry 18:
Crystalline Pm2HoGa6 at its relaxed geometry. Source: Alexandria via LeMat-Bulk, functional GGA-PBE.

a = 4.3685 Å, b = 7.0684 Å, c = 13.5542 Å
α = 90.00°, β = 90.00°, γ = 90.00°
With the nearest neighbours (Å) after each atom.
Space group Immm (No. 71)
Inequivalent atoms, fractional coordinates:
1 Pm 0.0000 0.0000 0.1286  10 Ga 2.92-3.18
2 Ho 0.0000 0.5000 0.0000  4 Ga 3.08
3 Ga 0.0000 0.1884 0.3206  2 Ga 2.57-2.66
4 Ga 0.0000 0.3074 0.5000  3 Ga 2.57-2.72

Computed properties:
E = -72.27 eV for the cell shown

Entry 19:
Crystalline PmHo2Ga at its relaxed geometry. Source: Alexandria via LeMat-Bulk, functional GGA-PBE.

a = 4.2771 Å, b = 12.0425 Å, c = 8.9681 Å
α = 90.00°, β = 90.00°, γ = 90.00°
With the nearest neighbours (Å) after each atom.
Space group Cmcm (No. 63)
Inequivalent atoms, fractional coordinates:
1 Pm 0.0000 0.0593 0.2500  2 Ga 3.14
2 Ho 0.0000 0.3550 0.0559  3 Ga 3.02-3.04
3 Ga 0.0000 0.2504 0.7500  6 Ho 3.02-3.04, 2 Pm 3.14

Computed properties:
E = -71.69 eV for the cell shown

Entry 20:
Crystalline PmHoGa at its relaxed geometry. Source: Alexandria via LeMat-Bulk, functional GGA-PBE.

a = 7.0815 Å, b = 7.0815 Å, c = 7.0815 Å
α = 90.00°, β = 90.00°, γ = 90.00°
With the nearest neighbours (Å) after each atom.
Space group F-43m (No. 216)
Inequivalent atoms, fractional coordinates:
1 Pm 0.0000 0.0000 0.0000  4 Ga 3.07
2 Ho 0.0000 0.0000 0.5000  4 Ga 3.07
3 Ga 0.2500 0.2500 0.7500  4 Ho 3.07, 4 Pm 3.07

Computed properties:
E = -52.28 eV for the cell shown

Entry 21:
Crystalline Pm2Ho8Ga at its relaxed geometry. Source: Alexandria via LeMat-Bulk, functional GGA-PBE.

a = 18.6504 Å, b = 5.4091 Å, c = 7.3817 Å
α = 90.00°, β = 113.23°, γ = 90.00°
With the nearest neighbours (Å) after each atom.
Space group C2/m (No. 12)
Inequivalent atoms, fractional coordinates:
1 Pm 0.1921 0.0000 0.1920  12 Ho 3.40-3.80
2 Ho 0.0002 0.0000 0.2567  2 Ga 3.25, 7 Ho 3.52-3.62
3 Ho 0.1312 0.5000 0.8916  1 Ga 2.96
4 Ho 0.1320 0.5000 0.3730  1 Ga 2.96
5 Ho 0.1833 0.0000 0.6839  8 Ho 3.43-3.64, 4 Pm 3.45-3.70
6 Ga 0.0000 0.5000 0.5000  8 Ho 2.96-3.25

Computed properties:
E = -98.79 eV for the cell shown

Entry 22:
Crystalline PmHoGa at its relaxed geometry. Source: Alexandria via LeMat-Bulk, functional GGA-PBE.

a = 5.0000 Å, b = 5.0000 Å, c = 3.7301 Å
α = 90.00°, β = 90.00°, γ = 120.00°
With the nearest neighbours (Å) after each atom.
Space group P3m1 (No. 156)
Inequivalent atoms, fractional coordinates:
1 Pm 0.0000 0.0000 0.0000  3 Ga 3.16, 6 Ho 3.36-3.52
2 Ho 0.6667 0.3333 0.5387  3 Ga 2.98
3 Ga 0.3333 0.6667 0.3435  3 Ho 2.98, 3 Pm 3.16

Computed properties:
E = -13.18 eV for the cell shown

Entry 23:
Crystalline PmHoGa2 at its relaxed geometry. Source: Alexandria via LeMat-Bulk, functional GGA-PBE.

a = 4.4025 Å, b = 4.0915 Å, c = 5.9445 Å
α = 90.00°, β = 111.69°, γ = 90.00°
With the nearest neighbours (Å) after each atom.
Space group Pm (No. 6)
Inequivalent atoms, fractional coordinates:
1 Pm 0.0000 0.0000 0.0000  7 Ga 3.10-3.27
2 Ho 0.7227 0.5000 0.4427  7 Ga 3.08-3.21
3 Ga 0.2837 0.0000 0.5641  2 Ga 2.63
4 Ga 0.4317 0.5000 0.8640  2 Ga 2.63

Computed properties:
E = -17.83 eV for the cell shown

Entry 24:
Crystalline Pm3Ho4Ga4 at its relaxed geometry. Source: Alexandria via LeMat-Bulk, functional GGA-PBE.

a = 4.9630 Å, b = 7.1545 Å, c = 16.5366 Å
α = 90.00°, β = 90.00°, γ = 90.00°
With the nearest neighbours (Å) after each atom.
Space group Immm (No. 71)
Inequivalent atoms, fractional coordinates:
1 Pm 0.0000 0.0000 0.0000  6 Ga 3.08-3.33
2 Pm 0.0000 0.5000 0.1036  4 Ga 3.31, 4 Ho 3.39, 1 Pm 3.43
3 Ho 0.0000 0.2756 0.3239  4 Ga 2.96-3.01, 1 Ho 3.21
4 Ga 0.0000 0.0000 0.1861  6 Ho 2.96-3.01, 1 Pm 3.08
5 Ga 0.0000 0.1892 0.5000  1 Ga 2.71, 2 Ho 2.98

Computed properties:
E = -97.65 eV for the cell shown

Entry 25:
Crystalline PmHo2Ga at its relaxed geometry. Source: Alexandria via LeMat-Bulk, functional GGA-PBE.

a = 3.6071 Å, b = 3.6071 Å, c = 30.7649 Å
α = 90.00°, β = 90.00°, γ = 120.00°
With the nearest neighbours (Å) after each atom.
Space group R3m (No. 160, hexagonal axes)
Inequivalent atoms, fractional coordinates:
1 Pm 0.0000 0.0000 0.0000  6 Pm 3.61, 6 Ho 3.62-3.64
2 Ho 0.0000 0.0000 0.2369  3 Ga 2.99
3 Ho 0.0000 0.0000 0.4303  3 Ga 3.00
4 Ga 0.0000 0.0000 0.8340  6 Ho 2.99-3.00

Computed properties:
E = -53.13 eV for the cell shown

Calculated magnetization, 0.00, 0.00, 0.00, 0.00, 0.00, 0.00, 0.71, 0.00, 0.00, 0.00, 0.00, 0.00, 0.00, 5.23, 0.00, 0.00, 0.00, 0.00, 0.01, 0.01, 0.00, 0.00, 0.00, 0.00, 0.00 Bohr magnetons per cell (same order as the records).
Calculated DOS(E_F), 0.57, 0.61, 0.63, 1.33, 0.87, 0.80, 1.19, 1.38, 0.82, 0.37, 1.04, 0.36, 1.15, 1.45, 0.52, 0.53, 0.75, 0.59, 1.31, 1.55, 1.32, 0.43, 0.83, 0.90, 1.14 states/eV/atom (same order as the records).